1.
Sm12DyAl3 (PBE, relaxed); energy of formation = -2.7 kcal/mol of atoms
1.0
-4.1457 1.8078 -1.8357
-2.5396 -3.4528 2.3352
-1.7677 11.9781 15.7883
Al Sm Dy
3 12 1
Direct
0.0000 0.0000 0.5000 Al
0.0000 0.0000 0.7423 Al
0.0000 0.0000 0.2577 Al
0.0000 0.5000 0.1344 Sm
0.5000 0.0000 0.6220 Sm
0.0000 0.5000 0.3780 Sm
0.5000 0.5000 0.5000 Sm
0.5000 0.0000 0.8656 Sm
0.5000 0.5000 0.7432 Sm
0.5000 0.5000 0.2568 Sm
0.5000 0.0000 0.1344 Sm
0.5000 0.0000 0.3780 Sm
0.5000 0.5000 0.0000 Sm
0.0000 0.5000 0.6220 Sm
0.0000 0.5000 0.8656 Sm
0.0000 0.0000 0.0000 Dy

=====

2.
RbP2PdSe8 (PBE, relaxed); DFT total energy = -3.93 eV per atom
1.0
5.9221 0.0000 0.0000
2.9610 5.1287 0.0000
2.9610 1.7096 11.3432
Se P Pd Rb
8 2 1 1
Direct
0.3106 0.9067 0.1417 Se
0.9067 0.6410 0.1417 Se
0.6410 0.3106 0.1417 Se
0.3590 0.6894 0.8583 Se
0.1999 0.1999 0.4002 Se
0.6894 0.0933 0.8583 Se
0.8001 0.8001 0.5998 Se
0.0933 0.3590 0.8583 Se
0.7366 0.7366 0.7901 P
0.2634 0.2634 0.2099 P
0.0000 0.0000 0.0000 Pd
0.5000 0.5000 0.5000 Rb

=====

3.
ZnFeTe2 (PBE, relaxed); DFT total energy = -3.65 eV per atom
1.0
-3.6960 0.9668 0.1115
-1.7654 -6.1770 -4.9581
-0.5006 -2.2591 2.9927
Te Fe Zn
2 1 1
Direct
0.0000 0.0000 0.0000 Te
0.5000 0.5000 0.0000 Te
0.0000 0.5000 0.5000 Fe
0.5000 0.0000 0.5000 Zn

=====

4.
Nb3Tc2 (PBE, relaxed); energy of formation = -6.6 kcal/mol of atoms
1.0
3.2041 0.0000 0.0000
0.0000 3.2041 0.0000
0.0000 0.0000 16.2333
Tc Nb
4 6
Direct
0.5000 0.5000 0.4016 Tc
0.5000 0.5000 0.2049 Tc
0.5000 0.5000 0.7951 Tc
0.5000 0.5000 0.5984 Tc
0.0000 0.0000 0.1070 Nb
0.0000 0.0000 0.6963 Nb
0.0000 0.0000 0.5000 Nb
0.5000 0.5000 0.0000 Nb
0.0000 0.0000 0.3037 Nb
0.0000 0.0000 0.8930 Nb

=====

no.,size of the total moment (μB/f.u.)
1,0.00
2,0.00
3,3.41
4,0.00